This record from Alexandria via LeMat-Bulk describes Ti3Ga4Mo after structural relaxation. The functional is PBE.

Summary:
**Excess energy over the best structure of this formula in the dataset**: 0.0376 eV/atom
**Energy**: -49.2 eV/f.u.
**Symmetry**: C2/m

```
Ti3Ga4Mo
1.0
-3.3130 1.4245 0.7528
-1.6975 -2.9198 -1.9451
2.1418 -4.0603 8.1447
Mo Ga Ti
1 4 3
Direct
0.5000 0.0000 0.0000
0.7511 0.2513 0.5024
0.2489 0.7487 0.4976
0.3874 0.3864 0.7739
0.6126 0.6136 0.2261
0.0000 0.5000 0.0000
0.8725 0.8718 0.7445
0.1275 0.1282 0.2555
```

=====

This record from Alexandria via LeMat-Bulk describes Ti6GaMo after structural relaxation. The functional is PBE.

Summary:
**Energy**: -61.9 eV/f.u.
**Symmetry**: Amm2

```
Ti6GaMo
1.0
-3.1124 -3.1018 1.5911
3.3573 -4.2879 -1.7918
0.6297 2.0878 5.3021
Ti Ga Mo
6 1 1
Direct
0.0000 0.0908 0.4193
0.0000 0.5807 0.9092
0.0000 0.5813 0.4187
0.5000 0.4089 0.0803
0.5000 0.9197 0.5911
0.5000 0.9188 0.0812
0.5000 0.4164 0.5836
0.0000 0.0830 0.9170
```

=====

This record from Alexandria via LeMat-Bulk describes Ti5Ga2Mo after structural relaxation. The functional is PBE.

Summary:
**Energy**: -58.8 eV/f.u.
**Symmetry**: I4/mmm

```
Ti5Ga2Mo
1.0
4.4815 0.0000 -1.2319
-0.3386 4.4687 -1.2319
-0.5439 -0.5866 6.7891
Ti Ga Mo
5 2 1
Direct
0.5000 0.5000 0.0000
0.8776 0.3776 0.7551
0.3776 0.8776 0.7551
0.1224 0.6224 0.2449
0.6224 0.1224 0.2449
0.7500 0.7500 0.4999
0.2500 0.2500 0.5001
0.0000 0.0000 0.0000
```

=====

This record from Alexandria via LeMat-Bulk describes Ti5Ga8Mo after structural relaxation. The functional is PBE.

Summary:
**Energy**: -77.1 eV/f.u.
**Symmetry**: I-4

```
Ti5Ga8Mo
1.0
6.7050 0.0168 -0.0288
-2.2529 6.3152 0.0288
-2.1991 -3.1849 5.4752
Ti Ga Mo
5 8 1
Direct
0.0120 0.2989 0.0898
0.9102 0.9223 0.2091
0.7909 0.7011 0.7131
0.5000 0.0000 0.5000
0.2869 0.0777 0.9880
0.1239 0.6966 0.0525
0.9475 0.0714 0.6441
0.7737 0.2777 0.3699
0.6301 0.4039 0.9078
0.5040 0.5961 0.2263
0.5727 0.9286 0.8761
0.3559 0.3034 0.4273
0.0922 0.7223 0.4960
0.2500 0.5000 0.7500
```

=====

This record from Alexandria via LeMat-Bulk describes TiGa2Mo after structural relaxation. The functional is PBE.

Summary:
**Excess energy over the best structure of this formula in the dataset**: 0.0699 eV/atom
**Energy**: -25.5 eV/f.u.
**Symmetry**: P4/mmm

```
TiGa2Mo
1.0
-0.4224 -3.3082 0.5453
3.2440 -0.2643 0.9092
-1.3633 1.0249 5.1621
Mo Ga Ti
1 2 1
Direct
0.5000 0.5000 0.0000
0.0000 0.0000 0.7552
0.0000 0.0000 0.2448
0.5000 0.5000 0.5000
```

=====

This record from Alexandria via LeMat-Bulk describes Ti8Ga2Mo after structural relaxation. The functional is PBE.

Summary:
**Energy**: -82.0 eV/f.u.
**Symmetry**: Immm

```
Ti8Ga2Mo
1.0
4.6072 0.0000 0.0000
0.0000 6.1772 -0.1867
-2.3036 -2.8914 6.5934
Ti Ga Mo
8 2 1
Direct
0.3613 0.5859 0.7226
0.6388 0.8637 0.2776
0.8277 0.8275 0.6554
0.0000 0.2681 0.0000
0.1723 0.1725 0.3446
0.3612 0.1363 0.7224
0.6387 0.4141 0.2774
0.0000 0.7319 0.0000
0.8119 0.3118 0.6238
0.1881 0.6882 0.3762
0.5000 0.0000 0.0000
```

=====

This record from Alexandria via LeMat-Bulk describes Ti8Ga5Mo after structural relaxation. The functional is PBE.

Summary:
**Energy**: -91.9 eV/f.u.
**Symmetry**: I-4

```
Ti8Ga5Mo
1.0
6.7529 -0.0005 0.0008
-2.2854 6.3544 -0.0008
-2.1821 -3.2132 5.5240
Ti Ga Mo
8 5 1
Direct
0.1381 0.7446 0.0202
0.9798 0.1178 0.7244
0.7635 0.2450 0.3677
0.6323 0.3957 0.8773
0.4815 0.6043 0.2365
0.6066 0.8822 0.8619
0.2756 0.2554 0.3934
0.1227 0.7550 0.5185
0.9998 0.3679 0.1297
0.8703 0.8701 0.2381
0.7619 0.6321 0.6320
0.5000 0.0000 0.5000
0.3680 0.1299 0.0002
0.2500 0.5000 0.7500
```

=====

This record from Alexandria via LeMat-Bulk describes Ti7Ga2Mo2 after structural relaxation. The functional is PBE.

Summary:
**Energy**: -81.2 eV/f.u.
**Symmetry**: Cmmm

```
Ti7Ga2Mo2
1.0
-4.3282 -3.6295 -0.4244
1.6569 -1.2108 -6.5453
4.9446 -2.2094 1.6605
Ti Ga Mo
7 2 2
Direct
0.0000 0.3015 0.5000
0.5000 0.6985 0.0000
0.0000 0.6985 0.5000
0.5000 0.3015 0.0000
0.0000 0.0000 0.0000
0.5000 0.7764 0.5000
0.5000 0.2236 0.5000
0.8000 0.5000 0.8000
0.2000 0.5000 0.2000
0.7071 0.0000 0.2929
0.2929 0.0000 0.7071
```

=====

This record from Alexandria via LeMat-Bulk describes Ti4Ga3Mo after structural relaxation. The functional is PBE.

Summary:
**Excess energy over the best structure of this formula in the dataset**: 0.0000 eV/atom
**Energy**: -54.8 eV/f.u.
**Symmetry**: Fmmm

```
Ti4Ga3Mo
1.0
-4.3258 0.8414 -0.3530
-0.8408 -2.8603 3.2644
3.1582 5.7783 2.8704
Mo Ga Ti
1 3 4
Direct
0.5000 0.0000 0.0000
0.0000 0.5000 0.0000
0.7427 0.2427 0.4859
0.2573 0.7573 0.5141
0.3775 0.3778 0.7551
0.6225 0.6222 0.2449
0.1222 0.1225 0.2449
0.8778 0.8775 0.7551
```

=====

This record from Alexandria via LeMat-Bulk describes TiGa3Mo after structural relaxation. The functional is PBE.

Summary:
**Excess energy over the best structure of this formula in the dataset**: 0.0000 eV/atom
**Energy**: -28.2 eV/f.u.
**Symmetry**: Cmce

```
TiGa3Mo
1.0
6.7319 -0.2102 -0.1572
0.1881 6.8997 -1.1610
0.1881 0.8355 6.9466
Ti Ga Mo
4 12 4
Direct
0.2500 0.9110 0.0890
0.7500 0.0890 0.9110
0.2500 0.4108 0.5892
0.7500 0.5892 0.4108
0.6083 0.7655 0.0537
0.8917 0.9463 0.2345
0.3917 0.2345 0.9463
0.1083 0.0537 0.7655
0.8241 0.4518 0.0482
0.6759 0.9518 0.5482
0.1759 0.5482 0.9518
0.3241 0.0482 0.4518
0.6084 0.4466 0.7344
0.8916 0.2656 0.5534
0.3916 0.5534 0.2656
0.1084 0.7344 0.4466
0.8927 0.7231 0.7771
0.6073 0.2229 0.2769
0.1073 0.2769 0.2229
0.3927 0.7771 0.7231
```

=====

This record from Alexandria via LeMat-Bulk describes Ti3Ga2Mo after structural relaxation. The functional is PBE.

Summary:
**Excess energy over the best structure of this formula in the dataset**: 0.0443 eV/atom
**Energy**: -43.0 eV/f.u.
**Symmetry**: P4/mmm

```
Ti3Ga2Mo
1.0
3.2317 0.0000 0.0000
0.0000 3.2317 0.0000
0.0000 0.0000 9.1597
Ti Ga Mo
3 2 1
Direct
0.0000 0.0000 0.0000
0.0000 0.0000 0.6592
0.0000 0.0000 0.3408
0.5000 0.5000 0.8242
0.5000 0.5000 0.1758
0.5000 0.5000 0.5000
```

=====

This record from Alexandria via LeMat-Bulk describes Ti3Ga4Mo after structural relaxation. The functional is PBE.

Summary:
**Excess energy over the best structure of this formula in the dataset**: 0.0000 eV/atom
**Energy**: -49.5 eV/f.u.
**Symmetry**: Pmn2_1

```
Ti3Ga4Mo
1.0
5.4343 0.0000 0.0000
0.0000 5.4302 0.0000
0.0000 0.0000 8.4772
Ti Ga Mo
6 8 2
Direct
0.7171 0.0297 0.0000
0.9380 0.7383 0.2500
0.4380 0.2617 0.2500
0.2171 0.9703 0.5000
0.4380 0.2617 0.7500
0.9380 0.7383 0.7500
0.2073 0.9862 0.0000
0.6705 0.5213 0.0000
0.9398 0.2400 0.2635
0.4398 0.7600 0.2365
0.1705 0.4787 0.5000
0.7073 0.0138 0.5000
0.4398 0.7600 0.7635
0.9398 0.2400 0.7365
0.1648 0.4798 0.0000
0.6648 0.5202 0.5000
```

=====

This record from Alexandria via LeMat-Bulk describes Ti2GaMo2 after structural relaxation. The functional is PBE.

Summary:
**Excess energy over the best structure of this formula in the dataset**: 0.1256 eV/atom
**Energy**: -40.1 eV/f.u.
**Symmetry**: P4/mbm

```
Ti2GaMo2
1.0
-0.9452 -1.5862 -6.5962
3.1338 -6.0088 0.9959
-3.1524 -1.5091 0.8146
Mo Ga Ti
4 2 4
Direct
0.3543 0.8543 0.0000
0.8543 0.6457 0.0000
0.6457 0.1457 0.0000
0.1457 0.3543 0.0000
0.0000 0.0000 0.0000
0.5000 0.5000 0.0000
0.1599 0.6599 0.5000
0.6599 0.8401 0.5000
0.8401 0.3401 0.5000
0.3401 0.1599 0.5000
```

=====

This record from Alexandria via LeMat-Bulk describes TiGa2Mo after structural relaxation. The functional is PBE.

Summary:
**Excess energy over the best structure of this formula in the dataset**: 0.1425 eV/atom
**Energy**: -25.2 eV/f.u.
**Symmetry**: Fm-3m

```
TiGa2Mo
1.0
1.6003 0.4045 4.1214
-2.6737 -0.6177 3.4900
0.4826 -3.5972 2.5569
Mo Ga Ti
1 2 1
Direct
0.5000 0.5000 0.5000
0.2500 0.2500 0.2500
0.7500 0.7500 0.7500
0.0000 0.0000 0.0000
```

=====

This record from Alexandria via LeMat-Bulk describes Ti3Ga2Mo after structural relaxation. The functional is PBE.

Summary:
**Excess energy over the best structure of this formula in the dataset**: 0.0000 eV/atom
**Energy**: -43.2 eV/f.u.
**Symmetry**: Cmmm

```
Ti3Ga2Mo
1.0
3.3904 0.0000 0.0000
0.0000 4.0901 -1.3540
0.0000 -0.0036 6.8436
Ti Ga Mo
3 2 1
Direct
0.5000 0.5000 0.0000
0.5000 0.8330 0.6660
0.5000 0.1670 0.3340
0.0000 0.3419 0.6838
0.0000 0.6581 0.3162
0.0000 0.0000 0.0000
```

=====

This record from Alexandria via LeMat-Bulk describes Ti2Ga4Mo after structural relaxation. The functional is PBE.

Summary:
**Energy**: -40.4 eV/f.u.
**Symmetry**: I4/mmm

```
Ti2Ga4Mo
1.0
6.4106 0.0044 -0.0027
-0.0043 6.4106 0.0027
-3.2020 -3.2086 2.6946
Ti Ga Mo
2 4 1
Direct
0.7500 0.2500 0.5000
0.2500 0.7500 0.5000
0.7001 0.2999 0.0000
0.2999 0.7001 0.0000
0.2999 0.2999 0.0000
0.7001 0.7001 0.0000
0.0000 0.0000 0.9999
```

=====

This record from Alexandria via LeMat-Bulk describes TiGaMo after structural relaxation. The functional is PBE.

Summary:
**Excess energy over the best structure of this formula in the dataset**: 0.1262 eV/atom
**Energy**: -22.2 eV/f.u.
**Symmetry**: P3m1

```
TiGaMo
1.0
2.6912 0.0000 0.0000
0.0000 4.4993 0.0000
0.0000 -2.2496 3.8965
Mo Ga Ti
1 1 1
Direct
0.3204 0.6667 0.3333
0.6486 0.3333 0.6667
0.0310 0.0000 0.0000
```

=====

This record from Alexandria via LeMat-Bulk describes TiGa2Mo after structural relaxation. The functional is PBE.

Summary:
**Excess energy over the best structure of this formula in the dataset**: 0.3270 eV/atom
**Energy**: -24.5 eV/f.u.
**Symmetry**: I-42d

```
TiGa2Mo
1.0
-2.6906 6.2562 1.6517
-6.3096 -2.9332 0.8321
-3.9434 1.2082 3.8653
Mo Ga Ti
2 4 2
Direct
0.0000 0.0000 0.0000
0.7500 0.2500 0.5000
0.6275 0.1250 0.2500
0.1225 0.6250 0.2500
0.3750 0.3725 0.7500
0.8750 0.8775 0.7500
0.5000 0.5000 0.0000
0.2500 0.7500 0.5000
```

=====

This record from Alexandria via LeMat-Bulk describes Ti4Ga3Mo after structural relaxation. The functional is PBE.

Summary:
**Excess energy over the best structure of this formula in the dataset**: 0.1941 eV/atom
**Energy**: -53.2 eV/f.u.
**Symmetry**: Pmn2_1

```
Ti4Ga3Mo
1.0
-2.1417 1.8958 3.8007
2.6894 -3.9513 3.4864
7.0569 5.7716 1.0976
Ti Ga Mo
8 6 2
Direct
0.0954 0.8663 0.0000
0.5944 0.1307 0.0000
0.0307 0.1305 0.2427
0.5307 0.8695 0.2573
0.0944 0.8693 0.5000
0.5954 0.1337 0.5000
0.5307 0.8695 0.7427
0.0307 0.1305 0.7573
0.6094 0.6307 0.0000
0.0193 0.6251 0.2545
0.5193 0.3749 0.2455
0.1094 0.3693 0.5000
0.5193 0.3749 0.7545
0.0193 0.6251 0.7455
0.1159 0.3918 0.0000
0.6159 0.6082 0.5000
```

=====

This record from Alexandria via LeMat-Bulk describes TiGa2Mo2 after structural relaxation. The functional is PBE.

Summary:
**Energy**: -36.7 eV/f.u.
**Symmetry**: P4/mbm

```
TiGa2Mo2
1.0
6.7400 0.0000 0.0000
0.0000 6.7400 0.0000
0.0000 0.0000 3.4355
Mo Ga Ti
4 4 2
Direct
0.1730 0.6730 0.5000
0.6730 0.8270 0.5000
0.8270 0.3270 0.5000
0.3270 0.1730 0.5000
0.3710 0.8710 0.0000
0.8710 0.6290 0.0000
0.6290 0.1290 0.0000
0.1290 0.3710 0.0000
0.0000 0.0000 0.0000
0.5000 0.5000 0.0000
```

=====

This record from Alexandria via LeMat-Bulk describes TiTlGa2Mo after structural relaxation. The functional is PBE.

Summary:
**Energy**: -19.1 eV/f.u.
**Symmetry**: P4/mmm

```
TiTlGa2Mo
1.0
-1.7586 -3.2588 3.4676
2.2249 -4.0127 -2.6427
4.2544 0.5794 2.7021
Tl Mo Ga Ti
1 1 2 1
Direct
0.0000 0.0000 0.0000
0.5000 0.5000 0.5000
0.0000 0.0000 0.5000
0.5000 0.0000 0.0000
0.0000 0.5000 0.0000
```

=====

This record from Alexandria via LeMat-Bulk describes UTiGaMo after structural relaxation. The functional is PBE.

Summary:
**Energy**: -33.0 eV/f.u.
**Symmetry**: F-43m

```
UTiGaMo
1.0
4.6044 0.0000 0.0000
2.3022 3.9876 0.0000
2.3022 1.3292 3.7595
Mo U Ga Ti
1 1 1 1
Direct
0.7500 0.7500 0.7500
0.0000 0.0000 0.0000
0.5000 0.5000 0.5000
0.2500 0.2500 0.2500
```

=====

This record from Alexandria via LeMat-Bulk describes TiVGaMo after structural relaxation. The functional is PBE.

Summary:
**Energy**: -31.8 eV/f.u.
**Symmetry**: F-43m

```
TiVGaMo
1.0
4.3900 0.0000 0.0000
2.1950 3.8018 0.0000
2.1950 1.2673 3.5844
Mo Ti Ga V
1 1 1 1
Direct
0.0000 0.0000 0.0000
0.2500 0.2500 0.2500
0.5000 0.5000 0.5000
0.7500 0.7500 0.7500
```

=====

This record from Alexandria via LeMat-Bulk describes TiGa2MoW after structural relaxation. The functional is PBE.

Summary:
**Energy**: -32.0 eV/f.u.
**Symmetry**: P4/mmm

```
TiGa2MoW
1.0
-2.1258 2.0791 -3.6787
-3.9420 -2.5974 0.8100
-1.6433 3.3871 2.8639
Mo Ga W Ti
1 2 1 1
Direct
0.0000 0.0000 0.0000
0.0000 0.0000 0.5000
0.5000 0.0000 0.0000
0.0000 0.5000 0.0000
0.5000 0.5000 0.5000
```

=====

For reference, DOS at the Fermi energy by record: 0.67 0.97 1.30 0.64 0.34 1.37 1.23 1.23 0.53 0.77 0.45 0.79 0.90 1.38 0.38 0.62 0.95 0.27 0.96 0.30 0.83 1.30 0.39 0.99 states/eV/atom.
For reference, theoretical density by record: 6.69 5.64 6.09 6.39 7.58 5.55 5.80 5.60 6.53 7.11 6.58 6.88 7.05 7.60 6.63 7.06 7.52 7.04 6.38 8.07 5.94 10.86 7.34 7.24 Mg/m³.